Record 1
VASP calculation (PBE) on an optimized crystal structure of Li5MgAl2.

Calculated values
For the total moment, the calculation gives 0.0 μB/f.u. The space group is Immm. The calculation puts the formation energy at -0.062 eV per atom.

Lattice parameters (Å, degrees): 7.333 7.333 7.333 157.86 100.85 83.42
Sites, in units of the cell vectors:
Li (0.000, 0.000, 0.000)
Li (0.102, 0.366, 0.736)
Li (0.370, 0.634, 0.736)
Li (0.630, 0.366, 0.264)
Li (0.898, 0.634, 0.264)
Mg (0.500, 0.000, 0.500)
Al (0.252, 0.252, 0.000)
Al (0.748, 0.748, 0.000)

Record 2
VASP calculation (PBE) on an optimized crystal structure of NdLuCo2.

Calculated values
The calculation puts the energy above the most stable polymorph in this dataset at 6 meV/atom. For the total moment, the calculation gives 0.7 μB/f.u. The space group is Fm-3m. The calculation puts the formation energy at -0.075 eV per atom.

Lattice parameters (Å, degrees): 4.757 4.757 4.757 60.00 60.00 60.00
Sites, in units of the cell vectors:
Nd (0.000, 0.000, 0.000)
Lu (0.500, 0.500, 0.500)
Co (0.250, 0.250, 0.250)
Co (0.750, 0.750, 0.750)

Record 3
VASP calculation (PBE) on an optimized crystal structure of La2AlFeHg.

Calculated values
For the total moment, the calculation gives 0.0 μB/f.u. The space group is P4/mmm. The calculation puts the formation energy at -0.259 eV per atom.

Lattice parameters (Å, degrees): 5.220 5.220 4.754 90.00 90.00 90.00
Sites, in units of the cell vectors:
La (0.000, 0.500, 0.000)
La (0.500, 0.000, 0.000)
Al (0.000, 0.000, 0.500)
Fe (0.000, 0.000, 0.000)
Hg (0.500, 0.500, 0.500)

Record 4
VASP calculation (PBE) on an optimized crystal structure of Mn2AsIr.

Calculated values
For the total moment, the calculation gives 0.9 μB/f.u. The space group is R3m. The calculation puts the formation energy at 0.139 eV per atom.

Lattice parameters (Å, degrees): 8.173 8.173 8.173 20.07 20.07 20.07
Sites, in units of the cell vectors:
Mn (0.000, 0.000, 0.000)
Mn (0.254, 0.254, 0.254)
As (0.505, 0.505, 0.505)
Ir (0.754, 0.754, 0.754)

Record 5
VASP calculation (PBE) on an optimized crystal structure of Sr2ZrO.

Calculated values
For the total moment, the calculation gives 0.0 μB/f.u. The space group is I-42d. The formation energy from raw total energies is -510 meV per atom.

Lattice parameters (Å, degrees): 6.997 6.997 6.997 116.22 116.22 96.68
Sites, in units of the cell vectors:
Sr (0.375, 0.239, 0.364)
Sr (0.761, 0.125, 0.136)
Sr (0.875, 0.011, 0.636)
Sr (0.989, 0.625, 0.864)
Zr (0.250, 0.750, 0.500)
Zr (0.500, 0.500, 0.000)
O (0.000, 0.000, 0.000)
O (0.750, 0.250, 0.500)

Record 6
VASP calculation (PBE) on an optimized crystal structure of Os2RuW.

Calculated values
The calculation puts the energy above the most stable polymorph in this dataset at 85 meV/atom. For the total moment, the calculation gives 0.0 μB/f.u. The space group is C2/m. The calculation puts the formation energy at 0.079 eV per atom.

Lattice parameters (Å, degrees): 4.749 4.749 4.770 99.56 99.56 33.73
Sites, in units of the cell vectors:
Os (0.249, 0.249, 0.239)
Os (0.751, 0.751, 0.761)
Ru (0.500, 0.500, 0.000)
W (0.000, 0.000, 0.500)

Record 7
VASP calculation (PBE) on an optimized crystal structure of AlHCl2.

Calculated values
For the total moment, the calculation gives 0.0 μB/f.u. The space group is I-42d. The total energy comes out at -3.53 eV per atom.

Lattice parameters (Å, degrees): 6.523 6.523 6.523 93.99 93.99 149.42
Sites, in units of the cell vectors:
Al (0.000, 0.000, 0.000)
Al (0.750, 0.250, 0.500)
H (0.250, 0.750, 0.500)
H (0.500, 0.500, 0.000)
Cl (0.375, 0.204, 0.329)
Cl (0.796, 0.125, 0.171)
Cl (0.875, 0.046, 0.671)
Cl (0.954, 0.625, 0.829)

Record 8
VASP calculation (PBE) on an optimized crystal structure of Zn2SbIr.

Calculated values
The calculation puts the energy above the most stable polymorph in this dataset at 85 meV/atom. For the total moment, the calculation gives 0.0 μB/f.u. The space group is P4mm. The formation energy from raw total energies is 61 meV per atom.

Lattice parameters (Å, degrees): 3.587 3.587 5.387 90.00 90.00 90.00
Sites, in units of the cell vectors:
Zn (0.000, 0.000, 0.000)
Zn (0.500, 0.500, 0.207)
Sb (0.500, 0.500, 0.693)
Ir (0.000, 0.000, 0.482)

Which value of total moment does entry 5 give?
0.0 μB/f.u.

Number 2 is which compound?
NdLuCo2